This record from Alexandria describes a relaxed CuAgP crystal. The functional is GGA-PBE.

Lattice parameters (Å, degrees): 6.012 6.012 6.012 152.66 152.66 39.05
Sites, in units of the cell vectors:
Cu 0.000 0.000 0.000
Ag 0.676 0.676 0.000
P 0.370 0.370 0.000

Values from the calculation:
electronic total energy: -3.865 eV/atom
mass density: 7345 kg/m³
D(E_F): 0.3628 states/eV/atom
E above lowest polymorph: 160 meV/atom

This record from Alexandria describes a relaxed PrTlP2S7 crystal. The functional is GGA-PBE.

Lattice parameters (Å, degrees): 9.932 12.638 9.136 90.00 90.30 90.00
Sites, in units of the cell vectors:
Pr 0.139 0.142 0.391
Pr 0.139 0.358 0.891
Pr 0.861 0.642 0.109
Pr 0.861 0.858 0.609
Tl 0.401 0.685 0.874
Tl 0.401 0.815 0.374
Tl 0.599 0.185 0.626
Tl 0.599 0.315 0.126
P 0.187 0.535 0.197
P 0.187 0.965 0.697
P 0.272 0.103 0.021
P 0.272 0.397 0.521
P 0.728 0.603 0.479
P 0.728 0.897 0.979
P 0.813 0.035 0.303
P 0.813 0.465 0.803
S 0.021 0.058 0.678
S 0.021 0.442 0.178
S 0.088 0.167 0.069
S 0.088 0.333 0.569
S 0.152 0.690 0.148
S 0.152 0.810 0.648
S 0.251 0.549 0.419
S 0.251 0.951 0.919
S 0.335 0.025 0.567
S 0.335 0.475 0.067
S 0.363 0.058 0.208
S 0.363 0.442 0.708
S 0.369 0.208 0.890
S 0.369 0.292 0.390
S 0.631 0.708 0.610
S 0.631 0.792 0.110
S 0.637 0.558 0.292
S 0.637 0.942 0.792
S 0.665 0.525 0.933
S 0.665 0.975 0.433
S 0.749 0.049 0.081
S 0.749 0.451 0.581
S 0.848 0.190 0.352
S 0.848 0.310 0.852
S 0.912 0.667 0.431
S 0.912 0.833 0.931
S 0.979 0.558 0.822
S 0.979 0.942 0.322

Values from the calculation:
electronic total energy: -5.014 eV/atom
mass density: 3659 kg/m³
D(E_F): 0.0000 states/eV/atom
formation energy (no corrections): -8.30 eV/f.u.

This record from Alexandria describes a relaxed PrZr2Tc crystal. The functional is GGA-PBE.

Lattice parameters (Å, degrees): 10.591 10.591 10.591 17.75 17.75 17.75
Sites, in units of the cell vectors:
Pr 0.000 0.000 0.000
Zr 0.104 0.104 0.104
Zr 0.896 0.896 0.896
Tc 0.500 0.500 0.500

Values from the calculation:
electronic total energy: -7.851 eV/atom
mass density: 7256 kg/m³
D(E_F): 1.3992 states/eV/atom
E above lowest polymorph: 309 meV/atom

This record from Alexandria describes a relaxed Sm4Zn3Pt crystal. The functional is GGA-PBE.

Lattice parameters (Å, degrees): 3.648 3.648 14.310 90.00 90.00 90.00
Sites, in units of the cell vectors:
Sm 0.000 0.000 0.118
Sm 0.000 0.000 0.374
Sm 0.000 0.000 0.626
Sm 0.000 0.000 0.882
Zn 0.500 0.500 0.251
Zn 0.500 0.500 0.500
Zn 0.500 0.500 0.749
Pt 0.500 0.500 0.000

Values from the calculation:
electronic total energy: -4.122 eV/atom
mass density: 8657 kg/m³
D(E_F): 0.8724 states/eV/atom

This record from Alexandria describes a relaxed Tc2OsCl crystal. The functional is GGA-PBE.

Lattice parameters (Å, degrees): 4.375 4.375 4.375 60.00 60.00 60.00
Sites, in units of the cell vectors:
Tc 0.250 0.250 0.250
Tc 0.750 0.750 0.750
Os 0.000 0.000 0.000
Cl 0.500 0.500 0.500

Values from the calculation:
electronic total energy: -7.585 eV/atom
mass density: 11824 kg/m³
D(E_F): 1.1166 states/eV/atom
formation energy (no corrections): 3.47 eV/f.u.
E above lowest polymorph: 581 meV/atom

This record from Alexandria describes a relaxed PuSiBr crystal. The functional is GGA-PBE.

Lattice parameters (Å, degrees): 4.035 4.035 11.399 100.38 100.38 59.99
Sites, in units of the cell vectors:
Pu 0.060 0.060 0.178
Pu 0.940 0.940 0.822
Si 0.338 0.338 0.015
Si 0.662 0.662 0.985
Br 0.217 0.217 0.657
Br 0.783 0.783 0.343

Values from the calculation:
electronic total energy: -8.098 eV/atom
mass density: 7439 kg/m³
D(E_F): 3.4470 states/eV/atom
formation energy (no corrections): -2.86 eV/f.u.

This record from Alexandria describes a relaxed LiAcCdGe crystal. The functional is GGA-PBE.

Lattice parameters (Å, degrees): 5.298 5.298 5.298 60.00 60.00 60.00
Sites, in units of the cell vectors:
Li 0.000 0.000 0.000
Ac 0.500 0.500 0.500
Cd 0.750 0.750 0.750
Ge 0.250 0.250 0.250

Values from the calculation:
electronic total energy: -3.238 eV/atom
mass density: 6618 kg/m³
D(E_F): 0.3866 states/eV/atom

This record from Alexandria describes a relaxed La2TmAl12Co3 crystal. The functional is GGA-PBE.

Lattice parameters (Å, degrees): 7.968 7.968 7.968 64.02 64.02 64.02
Sites, in units of the cell vectors:
La 0.082 0.082 0.082
La 0.918 0.918 0.918
Tm 0.500 0.500 0.500
Al 0.031 0.660 0.660
Al 0.226 0.226 0.592
Al 0.226 0.592 0.226
Al 0.340 0.340 0.969
Al 0.340 0.969 0.340
Al 0.408 0.774 0.774
Al 0.592 0.226 0.226
Al 0.660 0.031 0.660
Al 0.660 0.660 0.031
Al 0.774 0.408 0.774
Al 0.774 0.774 0.408
Al 0.969 0.340 0.340
Co 0.000 0.500 0.500
Co 0.500 0.000 0.500
Co 0.500 0.500 0.000

Values from the calculation:
electronic total energy: -4.479 eV/atom
mass density: 4040 kg/m³
D(E_F): 0.6493 states/eV/atom

This record from Alexandria describes a relaxed RhSeF2 crystal. The functional is GGA-PBE.

Lattice parameters (Å, degrees): 4.223 4.223 4.223 60.00 60.00 60.00
Sites, in units of the cell vectors:
Rh 0.000 0.000 0.000
Se 0.500 0.500 0.500
F 0.250 0.250 0.250
F 0.750 0.750 0.750

Values from the calculation:
electronic total energy: -3.694 eV/atom
mass density: 6857 kg/m³
D(E_F): 1.5864 states/eV/atom
formation energy (no corrections): -0.20 eV/f.u.
E above lowest polymorph: 515 meV/atom

This record from Alexandria describes a relaxed YHo2In crystal. The functional is GGA-PBE.

Lattice parameters (Å, degrees): 5.438 5.438 5.438 60.02 60.02 60.02
Sites, in units of the cell vectors:
Y 0.000 0.000 0.000
Ho 0.501 0.501 0.501
Ho 0.750 0.750 0.750
In 0.250 0.250 0.250

Values from the calculation:
electronic total energy: -4.722 eV/atom
mass density: 7788 kg/m³
D(E_F): 1.5982 states/eV/atom
E above lowest polymorph: 135 meV/atom

This record from Alexandria describes a relaxed MnHgRu2Se crystal. The functional is GGA-PBE.

Lattice parameters (Å, degrees): 4.563 4.563 4.348 90.00 90.00 90.00
Sites, in units of the cell vectors:
Mn 0.000 0.000 0.000
Hg 0.500 0.500 0.000
Ru 0.000 0.500 0.500
Ru 0.500 0.000 0.500
Se 0.000 0.000 0.500

Values from the calculation:
electronic total energy: -5.376 eV/atom
mass density: 9845 kg/m³
D(E_F): 2.3648 states/eV/atom
formation energy (no corrections): 4.63 eV/f.u.

This record from Alexandria describes a relaxed TiTe2Ir crystal. The functional is GGA-PBE.

Lattice parameters (Å, degrees): 4.795 4.795 4.795 60.00 60.00 60.00
Sites, in units of the cell vectors:
Ti 0.000 0.000 0.000
Te 0.250 0.250 0.250
Te 0.750 0.750 0.750
Ir 0.500 0.500 0.500

Values from the calculation:
electronic total energy: -5.706 eV/atom
mass density: 10550 kg/m³
D(E_F): 0.7937 states/eV/atom
formation energy (no corrections): 0.22 eV/f.u.
E above lowest polymorph: 562 meV/atom

This record from Alexandria describes a relaxed Rb2AlOsBr6 crystal. The functional is GGA-PBE.

Lattice parameters (Å, degrees): 7.629 7.629 7.629 119.96 119.96 90.07
Sites, in units of the cell vectors:
Rb 0.250 0.750 0.500
Rb 0.750 0.250 0.500
Al 0.000 0.000 0.000
Os 0.500 0.500 0.000
Br 0.263 0.263 0.000
Br 0.263 0.263 0.526
Br 0.263 0.737 0.000
Br 0.737 0.263 0.000
Br 0.737 0.737 0.000
Br 0.737 0.737 0.474

Values from the calculation:
electronic total energy: -3.431 eV/atom
mass density: 4586 kg/m³
D(E_F): 0.8538 states/eV/atom
formation energy (no corrections): -7.36 eV/f.u.

This record from Alexandria describes a relaxed Pm4NdTm crystal. The functional is GGA-PBE.

Lattice parameters (Å, degrees): 6.157 6.157 11.633 118.35 118.35 32.79
Sites, in units of the cell vectors:
Pm 0.187 0.187 0.342
Pm 0.192 0.192 0.847
Pm 0.808 0.808 0.153
Pm 0.813 0.813 0.658
Nd 0.000 0.000 0.500
Tm 0.000 0.000 0.000

Values from the calculation:
electronic total energy: -4.525 eV/atom
mass density: 7145 kg/m³
D(E_F): 1.9204 states/eV/atom
E above lowest polymorph: 70 meV/atom

This record from Alexandria describes a relaxed NaNbP2O8 crystal. The functional is GGA-PBE.

Lattice parameters (Å, degrees): 8.738 8.738 8.738 35.01 35.01 35.01
Sites, in units of the cell vectors:
Na 0.000 0.000 0.000
Nb 0.500 0.500 0.500
P 0.239 0.239 0.239
P 0.761 0.761 0.761
O 0.101 0.628 0.628
O 0.300 0.300 0.300
O 0.372 0.372 0.899
O 0.372 0.899 0.372
O 0.628 0.101 0.628
O 0.628 0.628 0.101
O 0.700 0.700 0.700
O 0.899 0.372 0.372

Values from the calculation:
electronic total energy: -7.424 eV/atom
mass density: 2590 kg/m³
D(E_F): 0.0000 states/eV/atom
formation energy (no corrections): -27.21 eV/f.u.

This record from Alexandria describes a relaxed CuAgTe5 crystal. The functional is GGA-PBE.

Lattice parameters (Å, degrees): 8.204 8.204 7.212 107.12 107.12 77.68
Sites, in units of the cell vectors:
Cu 0.000 0.000 0.000
Cu 0.000 0.000 0.500
Ag 0.454 0.546 0.750
Ag 0.546 0.454 0.250
Te 0.091 0.214 0.342
Te 0.147 0.526 0.816
Te 0.214 0.091 0.842
Te 0.282 0.718 0.250
Te 0.474 0.853 0.684
Te 0.526 0.147 0.316
Te 0.718 0.282 0.750
Te 0.786 0.909 0.158
Te 0.853 0.474 0.184
Te 0.909 0.786 0.658

Values from the calculation:
electronic total energy: -3.148 eV/atom
mass density: 6122 kg/m³
D(E_F): 0.3490 states/eV/atom
formation energy (no corrections): 0.62 eV/f.u.

This record from Alexandria describes a relaxed Sr5CdCu2 crystal. The functional is GGA-PBE.

Lattice parameters (Å, degrees): 9.924 9.924 9.924 129.72 129.72 73.86
Sites, in units of the cell vectors:
Sr 0.000 0.000 0.000
Sr 0.030 0.530 0.839
Sr 0.191 0.030 0.500
Sr 0.309 0.809 0.839
Sr 0.470 0.309 0.500
Sr 0.500 0.500 0.000
Sr 0.530 0.691 0.500
Sr 0.691 0.191 0.161
Sr 0.809 0.970 0.500
Sr 0.970 0.470 0.161
Cd 0.250 0.250 0.000
Cd 0.750 0.750 0.000
Cu 0.107 0.393 0.500
Cu 0.393 0.893 0.285
Cu 0.607 0.107 0.715
Cu 0.893 0.607 0.500

Values from the calculation:
electronic total energy: -2.329 eV/atom
mass density: 3989 kg/m³
D(E_F): 0.5183 states/eV/atom

This record from Alexandria describes a relaxed Tb3Nd2Ho6Sc crystal. The functional is GGA-PBE.

Lattice parameters (Å, degrees): 6.122 6.122 11.735 94.97 94.97 119.98
Sites, in units of the cell vectors:
Tb 0.000 0.000 0.000
Tb 0.334 0.666 0.000
Tb 0.666 0.334 0.000
Nd 0.166 0.834 0.500
Nd 0.834 0.166 0.500
Ho 0.087 0.417 0.250
Ho 0.253 0.253 0.750
Ho 0.417 0.087 0.250
Ho 0.583 0.913 0.750
Ho 0.747 0.747 0.250
Ho 0.913 0.583 0.750
Sc 0.500 0.500 0.500

Values from the calculation:
electronic total energy: -4.744 eV/atom
mass density: 7966 kg/m³
D(E_F): 1.2743 states/eV/atom

This record from Alexandria describes a relaxed ScReRu crystal. The functional is GGA-PBE.

Lattice parameters (Å, degrees): 7.147 7.147 4.429 90.00 90.00 154.87
Sites, in units of the cell vectors:
Sc 0.081 0.919 0.750
Sc 0.919 0.081 0.250
Re 0.246 0.754 0.250
Re 0.754 0.246 0.750
Ru 0.408 0.592 0.750
Ru 0.592 0.408 0.250

Values from the calculation:
electronic total energy: -9.627 eV/atom
mass density: 11481 kg/m³
D(E_F): 0.5463 states/eV/atom
E above lowest polymorph: 65 meV/atom

This record from Alexandria describes a relaxed MoOs2Pd2 crystal. The functional is GGA-PBE.

Lattice parameters (Å, degrees): 7.495 7.495 2.757 90.00 90.00 90.00
Sites, in units of the cell vectors:
Mo 0.000 0.000 0.000
Mo 0.500 0.500 0.000
Os 0.174 0.326 0.500
Os 0.326 0.826 0.500
Os 0.674 0.174 0.500
Os 0.826 0.674 0.500
Pd 0.124 0.624 0.000
Pd 0.376 0.124 0.000
Pd 0.624 0.876 0.000
Pd 0.876 0.376 0.000

Values from the calculation:
electronic total energy: -8.115 eV/atom
mass density: 14778 kg/m³
D(E_F): 1.1522 states/eV/atom
E above lowest polymorph: 0 meV/atom

This record from Alexandria describes a relaxed AcPaSe crystal. The functional is GGA-PBE.

Lattice parameters (Å, degrees): 8.105 8.105 4.524 90.00 90.00 120.00
Sites, in units of the cell vectors:
Ac 0.000 0.421 0.000
Ac 0.421 0.000 0.000
Ac 0.579 0.579 0.000
Pa 0.000 0.770 0.500
Pa 0.230 0.230 0.500
Pa 0.770 0.000 0.500
Se 0.000 0.000 0.000
Se 0.333 0.667 0.500
Se 0.667 0.333 0.500

Values from the calculation:
electronic total energy: -6.304 eV/atom
mass density: 10394 kg/m³
D(E_F): 1.8078 states/eV/atom
formation energy (no corrections): -1.82 eV/f.u.

This record from Alexandria describes a relaxed ErIBr2 crystal. The functional is GGA-PBE.

Lattice parameters (Å, degrees): 7.331 7.331 7.410 105.46 105.46 112.04
Sites, in units of the cell vectors:
Er 0.090 0.910 0.500
Er 0.910 0.090 0.000
I 0.676 0.858 0.214
I 0.858 0.676 0.714
Br 0.006 0.508 0.236
Br 0.143 0.276 0.794
Br 0.276 0.143 0.294
Br 0.508 0.006 0.736

Values from the calculation:
electronic total energy: -4.036 eV/atom
mass density: 4646 kg/m³
D(E_F): 0.0000 states/eV/atom
formation energy (no corrections): -6.68 eV/f.u.
E above lowest polymorph: 0 meV/atom

This record from Alexandria describes a relaxed CuOs2Pt crystal. The functional is GGA-PBE.

Lattice parameters (Å, degrees): 4.342 4.342 4.342 60.00 60.00 60.00
Sites, in units of the cell vectors:
Cu 0.000 0.000 0.000
Os 0.500 0.500 0.500
Os 0.750 0.750 0.750
Pt 0.250 0.250 0.250

Values from the calculation:
electronic total energy: -7.648 eV/atom
mass density: 18336 kg/m³
D(E_F): 1.0931 states/eV/atom
E above lowest polymorph: 414 meV/atom